# NiTe2PdI | Alexandria via LeMat-Bulk | PBE | relaxed
data_NiTe2PdI
_chemical_formula_sum 'Ni1 Te2 Pd1 I1'
_cell_length_a 5.014
_cell_length_b 5.014
_cell_length_c 5.293
_cell_angle_alpha 90.00
_cell_angle_beta 90.00
_cell_angle_gamma 90.00
_symmetry_space_group_name_H-M 'P 4/m m m'
_symmetry_Int_Tables_number 123
_symmetry_space_group_name_Hall '-P 4 2'
loop_
_atom_site_label
_atom_site_type_symbol
_atom_site_fract_x
_atom_site_fract_y
_atom_site_fract_z
Ni1 Ni 0.000 0.000 0.000
Te1 Te 0.000 0.500 0.000
Pd1 Pd 0.500 0.500 0.500
I1 I 0.000 0.000 0.500
# DOS(E_F) = 1.282 states/eV per atom
# uncorrected formation energy = 0.54 eV/atom
# total magnetic moment = 0.0 μB per formula unit